# 1
# Pr3ZnSi6Pd2 | the Alexandria database | PBE | relaxed
data_Pr3ZnSi6Pd2
_chemical_formula_sum 'Pr3 Zn1 Si6 Pd2'
_cell_length_a 5.8537
_cell_length_b 5.8537
_cell_length_c 8.3193
_cell_angle_alpha 90.00
_cell_angle_beta 90.00
_cell_angle_gamma 120.00
_symmetry_space_group_name_H-M 'P 1'
_symmetry_Int_Tables_number 1
loop_
_symmetry_equiv_pos_as_xyz
'x,y,z'
loop_
_atom_site_label
_atom_site_fract_x
_atom_site_fract_y
_atom_site_fract_z
_atom_site_occupancy
Si1 0.1951 0.3903 0.2811 1
Si2 0.3903 0.1951 0.7189 1
Pr1 0.0000 0.0000 0.0000 1
Pr2 0.6667 0.3333 0.3776 1
Pr3 0.3333 0.6667 0.6224 1
Si3 0.6097 0.8049 0.2811 1
Pd1 0.3333 0.6667 0.0318 1
Zn1 0.0000 0.0000 0.5000 1
Si4 0.1951 0.8049 0.2811 1
Pd2 0.6667 0.3333 0.9682 1
Si5 0.8049 0.1951 0.7189 1
Si6 0.8049 0.6097 0.7189 1
# * ρ: 5.848 Mg/m³
# * formation energy (no corrections): -0.380 eV/atom
# * symmetry: No. 164

# 2
# Cr3GaFe | the Alexandria database | PBE | relaxed
data_Cr3GaFe
_chemical_formula_sum 'Cr3 Ga1 Fe1'
_cell_length_a 4.5670
_cell_length_b 4.5670
_cell_length_c 4.5670
_cell_angle_alpha 90.00
_cell_angle_beta 90.00
_cell_angle_gamma 90.00
_symmetry_space_group_name_H-M 'P 1'
_symmetry_Int_Tables_number 1
loop_
_symmetry_equiv_pos_as_xyz
'x,y,z'
loop_
_atom_site_label
_atom_site_fract_x
_atom_site_fract_y
_atom_site_fract_z
_atom_site_occupancy
Cr1 0.5000 0.0000 0.0000 1
Ga1 0.0000 0.0000 0.0000 1
Cr2 0.0000 0.5000 0.0000 1
Cr3 0.0000 0.0000 0.5000 1
Fe1 0.5000 0.5000 0.5000 1
# * ρ: 4.908 Mg/m³
# * excess energy over the best structure of this formula in the dataset: 816.8 meV/atom
# * symmetry: No. 221
# * calculated formation energy: 1.806 eV per atom

# 3
# KTlGaPb | the Alexandria database | PBE | relaxed
data_KTlGaPb
_chemical_formula_sum 'K1 Tl1 Ga1 Pb1'
_cell_length_a 5.5618
_cell_length_b 5.5618
_cell_length_c 5.5618
_cell_angle_alpha 60.00
_cell_angle_beta 60.00
_cell_angle_gamma 60.00
_symmetry_space_group_name_H-M 'P 1'
_symmetry_Int_Tables_number 1
loop_
_symmetry_equiv_pos_as_xyz
'x,y,z'
loop_
_atom_site_label
_atom_site_fract_x
_atom_site_fract_y
_atom_site_fract_z
_atom_site_occupancy
Ga1 0.2500 0.2500 0.2500 1
K1 0.0000 0.0000 0.0000 1
Pb1 0.5000 0.5000 0.5000 1
Tl1 0.7500 0.7500 0.7500 1
# * ρ: 7.103 Mg/m³
# * symmetry: No. 216
# * calculated formation energy: 0.006 eV per atom

# 4
# Th2GaSb | the Alexandria database | PBE | relaxed
data_Th2GaSb
_chemical_formula_sum 'Th2 Ga1 Sb1'
_cell_length_a 4.4012
_cell_length_b 4.4012
_cell_length_c 7.7109
_cell_angle_alpha 73.42
_cell_angle_beta 73.42
_cell_angle_gamma 60.00
_symmetry_space_group_name_H-M 'P 1'
_symmetry_Int_Tables_number 1
loop_
_symmetry_equiv_pos_as_xyz
'x,y,z'
loop_
_atom_site_label
_atom_site_fract_x
_atom_site_fract_y
_atom_site_fract_z
_atom_site_occupancy
Ga1 0.0000 0.0000 0.0000 1
Sb1 0.5000 0.5000 0.5000 1
Th1 0.2559 0.2559 0.2323 1
Th2 0.7441 0.7441 0.7677 1
# * ρ: 8.913 Mg/m³
# * excess energy over the best structure of this formula in the dataset: 52.3 meV/atom
# * formation energy (no corrections): -0.625 eV/atom
# * symmetry: No. 166

# 5
# PaTlTe4Au | the Alexandria database | PBE | relaxed
data_PaTlTe4Au
_chemical_formula_sum 'Pa2 Tl2 Te8 Au2'
_cell_length_a 7.6731
_cell_length_b 6.2501
_cell_length_c 10.0098
_cell_angle_alpha 90.00
_cell_angle_beta 111.31
_cell_angle_gamma 90.00
_symmetry_space_group_name_H-M 'P 1'
_symmetry_Int_Tables_number 1
loop_
_symmetry_equiv_pos_as_xyz
'x,y,z'
loop_
_atom_site_label
_atom_site_fract_x
_atom_site_fract_y
_atom_site_fract_z
_atom_site_occupancy
Te1 0.5598 0.2500 0.3941 1
Te2 0.4402 0.7500 0.6059 1
Tl1 0.2346 0.2500 0.0567 1
Au1 0.2738 0.7500 0.3142 1
Pa1 0.7228 0.7500 0.4403 1
Te3 0.9615 0.4926 0.2947 1
Te4 0.4524 0.7500 0.1300 1
Te5 0.5476 0.2500 0.8700 1
Te6 0.0385 0.5074 0.7053 1
Au2 0.7262 0.2500 0.6858 1
Pa2 0.2772 0.2500 0.5597 1
Te7 0.0385 0.9926 0.7053 1
Te8 0.9615 0.0074 0.2947 1
Tl2 0.7654 0.7500 0.9433 1
# * ρ: 8.486 Mg/m³
# * formation energy (no corrections): -0.496 eV/atom
# * symmetry: No. 11

# 6
# RbCrGa2W | the Alexandria database | PBE | relaxed
data_RbCrGa2W
_chemical_formula_sum 'Rb1 Cr1 Ga2 W1'
_cell_length_a 4.7651
_cell_length_b 4.9163
_cell_length_c 4.7651
_cell_angle_alpha 90.00
_cell_angle_beta 90.00
_cell_angle_gamma 90.00
_symmetry_space_group_name_H-M 'P 1'
_symmetry_Int_Tables_number 1
loop_
_symmetry_equiv_pos_as_xyz
'x,y,z'
loop_
_atom_site_label
_atom_site_fract_x
_atom_site_fract_y
_atom_site_fract_z
_atom_site_occupancy
Rb1 0.0000 0.5000 0.0000 1
Ga1 0.5000 0.0000 0.0000 1
W1 0.5000 0.5000 0.5000 1
Ga2 0.0000 0.0000 0.5000 1
Cr1 0.0000 0.0000 0.0000 1
# * ρ: 6.854 Mg/m³
# * symmetry: No. 123
# * calculated formation energy: 2.130 eV per atom

no.,uncorrected energy (eV/atom),volume (Å³/cell)
1,-5.258,246.9
2,-6.266,95.3
3,-2.544,121.7
4,-6.122,122.1
5,-4.454,447.2
6,-3.790,111.6